No. 1
The following is a PBE calculation of an optimized crystal structure of Ba2NaLiCa, from Alexandria.

a b c (Å): 6.720 6.720 5.551
angles (deg): 90.00 90.00 90.00
Space group P4/mmm (No. 123)
Unique sites:
Ba  0.000  0.500  0.000
Na  0.000  0.000  0.500
Li  0.000  0.000  0.000
Ca  0.500  0.500  0.500

## Properties
As for the energy relative to the elements: 0.210 eV/atom. As for the energy above the most stable polymorph in this dataset: 0.021 eV/atom.

=====

No. 2
The following is a PBE calculation of an optimized crystal structure of Tb4Pm2Dy3, from Alexandria.

a b c (Å): 16.293 11.636 6.152
angles (deg): 90.00 96.02 90.00
Space group C2/c (No. 15)
Unique sites:
Tb  0.046  0.141  0.015
Tb  0.215  0.361  0.848
Pm  0.122  0.357  0.321
Dy  0.000  0.402  0.750
Dy  0.165  0.098  0.592

## Properties
As for the energy relative to the elements: 0.092 eV/atom.

=====

No. 3
The following is a PBE calculation of an optimized crystal structure of Dy2Cd2Ag, from Alexandria.

a b c (Å): 4.791 15.028 3.386
angles (deg): 90.00 90.00 90.00
Space group Cmmm (No. 65)
Unique sites:
Dy  0.000  0.112  0.000
Cd  0.000  0.303  0.500
Ag  0.000  0.500  0.500

## Properties
As for the energy relative to the elements: -0.206 eV/atom. As for the energy above the most stable polymorph in this dataset: 0.000 eV/atom.